An optimized crystal structure of NaNpNi2O6. Source: Alexandria via LeMat-Bulk, functional PBE+U.

Values from the calculation:
- Calculated volume: 121.3 Å³ per cell
- Electronic total energy: -67.23 eV for the cell shown

```
data_NaNpNi2O6
_chemical_formula_sum 'Na1 Np1 Ni2 O6'
_cell_length_a 5.791
_cell_length_b 5.791
_cell_length_c 5.791
_cell_angle_alpha 54.99
_cell_angle_beta 54.99
_cell_angle_gamma 54.99
_symmetry_space_group_name_H-M 'P 1'
_symmetry_Int_Tables_number 1
loop_
_symmetry_equiv_pos_as_xyz
'x,y,z'
loop_
_atom_site_label
_atom_site_type_symbol
_atom_site_fract_x
_atom_site_fract_y
_atom_site_fract_z
_atom_site_occupancy
Na1 Na 0.000 0.000 0.000 1
Np1 Np 0.517 0.517 0.517 1
Ni1 Ni 0.201 0.201 0.201 1
Ni2 Ni 0.716 0.716 0.716 1
O1 O 0.114 0.446 0.787 1
O2 O 0.339 0.913 0.564 1
O3 O 0.446 0.787 0.114 1
O4 O 0.564 0.339 0.913 1
O5 O 0.787 0.114 0.446 1
O6 O 0.913 0.564 0.339 1
```